# PBE NdTcGe2, relaxed
# - energy above the lowest structure with this stoichiometry (meV per atom) = 0
# - magnetization (μB/atom) = 0.000
# - calculated volume (Å³/f.u.) = 81
# - formation energy from the elements (eV/atom) = -0.528
data_NdTcGe2
_cell_length_a 7.337
_cell_length_b 4.260
_cell_length_c 10.408
_cell_angle_alpha 90.00
_cell_angle_beta 90.00
_cell_angle_gamma 90.00
_symmetry_space_group_name_H-M 'P n m a'
_symmetry_Int_Tables_number 62
_symmetry_space_group_name_Hall '-P 2ac 2n'
loop_
_atom_site_label
_atom_site_fract_x
_atom_site_fract_y
_atom_site_fract_z
Nd1 0.158 0.250 0.130
Tc1 0.021 0.750 0.393
Ge1 0.142 0.250 0.812
Ge2 0.201 0.250 0.431